Material: MgCr2In
Method: DFT, PBE-GGA
State: relaxed

The total energy is -5.3793 eV/atom. Its symmetry is No. 12. As for the magnetic moment: 0.0 Bohr magnetons per cell. The value obtained for the calculated formation energy is 0.516 eV/atom.

Lattice parameters (Å, degrees): 9.9916 3.3299 4.4949 90.00 116.71 90.00
With the nearest neighbours (Å) after each atom.
Fractional coordinates of all 8 atoms:
1 Mg 0.0000 0.0000 0.0000  6 Cr 2.80-2.93, 4 In 2.80
2 Mg 0.5000 0.5000 0.0000  6 Cr 2.80-2.93, 4 In 2.80
3 Cr 0.2483 0.5000 0.1687  2 Cr 2.26
4 Cr 0.2517 0.0000 0.8313  2 Cr 2.26
5 Cr 0.7483 0.0000 0.1687  2 Cr 2.26
6 Cr 0.7517 0.5000 0.8313  2 Cr 2.26
7 In 0.0000 0.5000 0.5000  4 Mg 2.80, 6 Cr 2.82-2.91
8 In 0.5000 0.0000 0.5000  4 Mg 2.80, 6 Cr 2.82-2.91